Computed, not measured: Li2CeZr2S6 after structural relaxation at the GGA-PBE level of DFT.

```
data_Li2CeZr2S6
_chemical_formula_sum 'Li4 Ce2 Zr4 S12'
_symmetry_space_group_name_H-M 'C 1 2/m 1'
_symmetry_Int_Tables_number 12
_symmetry_space_group_name_Hall '-C 2y'
_cell_length_a 6.534
_cell_length_b 11.445
_cell_length_c 6.582
_cell_angle_alpha 90.00
_cell_angle_beta 109.84
_cell_angle_gamma 90.00
loop_
_atom_site_label
_atom_site_type_symbol
_atom_site_fract_x
_atom_site_fract_y
_atom_site_fract_z
Li1 Li 0.000 0.168 0.000
Ce1 Ce 0.000 0.000 0.500
Zr1 Zr 0.000 0.335 0.500
S1 S 0.234 0.500 0.748
S2 S 0.244 0.322 0.255
```

Properties
The calculation puts the uncorrected formation energy at -36.60 kcal/mol of atoms. The calculation puts the density of states at the Fermi level at 17.8 states/eV per cell. The calculation puts the magnetization at 3.09 Bohr magnetons per cell. The value obtained for the calculated volume is 21.05 Å³/atom.